Compound: NdCrSO2
Source: the Alexandria database
Functional: GGA+U
Structure: optimized geometry

The structure in POSCAR format:
```
NdCrSO2
1.0
5.2871 0.0000 0.0000
0.0000 5.2977 0.0000
0.0000 -2.6489 5.9162
O S Cr Nd
4 2 2 2
Direct
0.0000 0.2429 0.0000 O
0.5000 0.7571 0.0000 O
0.5000 0.2429 0.0000 O
0.0000 0.7571 0.0000 O
0.2500 0.2538 0.5076 S
0.7500 0.7462 0.4924 S
0.2500 0.9471 0.8941 Cr
0.7500 0.0529 0.1059 Cr
0.2500 0.6282 0.2565 Nd
0.7500 0.3718 0.7435 Nd
```

Space group   No. 63
E_tot   -72.51 eV per cell
Crystal system   orthorhombic